An optimized crystal structure of Be13Nb5. Source: the Open Quantum Materials Database, functional PBE.

abc: 3.7375 29.3468 3.6916
angles: 90.00 90.00 90.00
Closest atoms and distances in Å follow each position.
Space group Cmmm (No. 65)
Symmetry-distinct sites (fractional):
Be 0.0000 0.0000 0.0000  8 Be 2.41-2.44, 4 Nb 2.63
Be 0.0000 0.0528 0.5000  8 Be 2.41-2.63, 4 Nb 2.43
Be 0.0000 0.1613 0.5000  4 Be 2.24-2.50, 4 Nb 2.44-2.50
Be 0.0000 0.2044 0.0000  4 Be 2.24-2.28
Be 0.0000 0.3399 0.0000  4 Be 2.28-2.46, 4 Nb 2.44-2.51
Be 0.0000 0.3952 0.5000  8 Be 2.38-2.50, 4 Nb 2.63
Be 0.0000 0.4466 0.0000  8 Be 2.38-2.63, 4 Nb 2.42-2.44
Nb 0.0000 0.1067 0.0000  12 Be 2.43-2.63
Nb 0.0000 0.2818 0.5000  8 Be 2.50-2.66, 2 Nb 2.64
Nb 0.0000 0.5000 0.5000  12 Be 2.42-2.63

DFT total energy, eV per cell: -194.72